This record from Alexandria via LeMat-Bulk describes a PBEsol-optimized structure of Mg4Pb. The functional is SCAN.

Cell: 6.726 6.726 6.726 Å, 90.00 90.00 90.00°
Element x y z (fractional)
Mg  0.250  0.250  0.250
Mg  0.250  0.250  0.750
Mg  0.250  0.750  0.250
Mg  0.250  0.750  0.750
Mg  0.750  0.250  0.250
Mg  0.750  0.250  0.750
Mg  0.750  0.750  0.250
Mg  0.750  0.750  0.750
Pb  0.000  0.000  0.000
Pb  0.500  0.500  0.500

Output
Symmetry ... Im-3m (229)
Relative energy among the computed polymorphs ... 362 meV/atom
Total magnetization ... 0.0 μB/f.u.